[1]
The following is a DFT calculation (GGA-PBE) of an optimized crystal structure of Ac6ZnAg5.

Cell lengths 5.6003, 7.8972, 9.6831 Å; angles 114.06, 106.68, 90.00 degrees
With the nearest neighbours (Å) after each atom.
Element x y z (fractional)
Ac (0.1663, 0.9166, 0.3326)  1 Zn 3.42, 7 Ag 3.42-3.45
Ac (0.4999, 0.7505, 0.0000)  6 Ag 3.40-3.43, 2 Zn 3.42
Ag (0.3350, 0.8350, 0.6700)  8 Ac 3.40-3.45
Ag (0.3335, 0.3334, 0.6669)  8 Ac 3.43
Ag (0.6650, 0.1650, 0.3300)  8 Ac 3.40-3.45
Zn (0.0000, 0.0000, 0.0000)  8 Ac 3.42
Ac (0.1664, 0.4160, 0.3326)  1 Zn 3.42, 7 Ag 3.42-3.45
Ac (0.8336, 0.5840, 0.6674)  1 Zn 3.42, 7 Ag 3.42-3.45
Ag (0.0000, 0.5000, 0.0000)  8 Ac 3.42-3.43
Ac (0.8337, 0.0834, 0.6674)  1 Zn 3.42, 7 Ag 3.42-3.45
Ac (0.5001, 0.2495, 0.0000)  6 Ag 3.40-3.43, 2 Zn 3.42
Ag (0.6665, 0.6666, 0.3331)  8 Ac 3.43

Results
The value obtained for the formation energy is -260 meV per atom. The total magnetization is 0.00 μB per formula unit.


[2]
The following is a DFT calculation (GGA-PBE) of an optimized crystal structure of Th3CoSb2.

Cell lengths 6.3024, 8.2803, 7.7448 Å; angles 107.00, 114.01, 90.00 degrees
With the nearest neighbours (Å) after each atom.
Element x y z (fractional)
Co (0.9997, 0.2500, 0.0000)  4 Th 2.61-2.89
Th (0.1345, 0.5513, 0.2690)  2 Co 2.61-2.89
Th (0.5000, 0.2500, 0.0000)  2 Co 3.15, 4 Sb 3.17-3.21
Th (0.8655, 0.4487, 0.7310)  2 Co 2.61-2.89
Co (0.0003, 0.7500, 0.0000)  4 Th 2.61-2.89
Sb (0.3191, 0.9045, 0.6381)  6 Th 3.17-3.24
Sb (0.6810, 0.5955, 0.3619)  6 Th 3.17-3.24
Sb (0.3190, 0.4045, 0.6381)  6 Th 3.17-3.24
Th (0.1345, 0.0513, 0.2690)  2 Co 2.61-2.89
Th (0.5000, 0.7500, 0.0000)  2 Co 3.15, 4 Sb 3.17-3.21
Sb (0.6809, 0.0955, 0.3619)  6 Th 3.17-3.24
Th (0.8655, 0.9487, 0.7310)  2 Co 2.61-2.89

Results
The value obtained for the relative energy among the computed polymorphs is 0.057 eV per atom. The total magnetization is 0.00 μB per formula unit. Its uncorrected formation energy is -0.62 eV/atom.


[3]
The following is a DFT calculation (GGA-PBE) of an optimized crystal structure of KMnRhS3.

Cell lengths 3.5873, 8.1515, 9.0571 Å; angles 114.10, 90.00, 90.00 degrees
With the nearest neighbours (Å) after each atom.
Element x y z (fractional)
S (0.7500, 0.1972, 0.5354)  3 Mn 2.17-2.20
S (0.2500, 0.8028, 0.4646)  3 Mn 2.17-2.20
Mn (0.7500, 0.9087, 0.3925)  4 S 2.17-2.20
K (0.2500, 0.2373, 0.2522)  7 S 3.15-3.30
Rh (0.7500, 0.3145, 0.8470)  6 S 2.40-2.58
S (0.7500, 0.8762, 0.1419)  1 Mn 2.17, 2 Rh 2.40
S (0.2500, 0.1238, 0.8581)  1 Mn 2.17, 2 Rh 2.40
Mn (0.2500, 0.0913, 0.6075)  4 S 2.17-2.20
S (0.2500, 0.5173, 0.8611)  3 Rh 2.41-2.43
S (0.7500, 0.4827, 0.1389)  3 Rh 2.41-2.43
K (0.7500, 0.7627, 0.7478)  7 S 3.15-3.30
Rh (0.2500, 0.6855, 0.1530)  6 S 2.40-2.58

Results
The total magnetization is 0.14 μB per formula unit. Its uncorrected formation energy is -0.68 eV/atom.


[4]
The following is a DFT calculation (GGA-PBE) of an optimized crystal structure of Zr2CdN.

Cell lengths 3.3233, 3.3233, 7.6965 Å; angles 77.53, 77.53, 60.00 degrees
With the nearest neighbours (Å) after each atom.
Element x y z (fractional)
Cd (0.5000, 0.5000, 0.5000)  6 Zr 3.16, 6 Cd 3.32
Zr (0.2787, 0.2787, 0.1639)  3 N 2.27
Zr (0.7213, 0.7213, 0.8361)  3 N 2.27
N (0.0000, 0.0000, 0.0000)  6 Zr 2.27

Results
The value obtained for the relative energy among the computed polymorphs is 0.000 eV per atom. The total magnetization is 0.00 μB per formula unit. Its uncorrected formation energy is -0.95 eV/atom.


[5]
The following is a DFT calculation (GGA-PBE) of an optimized crystal structure of La2MnSe.

Cell lengths 5.2002, 5.2002, 5.2002 Å; angles 60.00, 60.00, 60.00 degrees
With the nearest neighbours (Å) after each atom.
Element x y z (fractional)
Mn (0.5000, 0.5000, 0.5000)  4 La 3.18, 4 Se 3.18
La (0.2500, 0.2500, 0.2500)  4 Mn 3.18, 4 La 3.18
Se (0.7500, 0.7500, 0.7500)  4 La 3.18, 4 Mn 3.18
La (0.0000, 0.0000, 0.0000)  4 La 3.18, 4 Se 3.18

Results
The total magnetization is 1.94 μB per formula unit. Its uncorrected formation energy is -0.04 eV/atom.


[6]
The following is a DFT calculation (GGA-PBE) of an optimized crystal structure of CaSeS.

Cell lengths 4.5040, 4.7593, 5.1988 Å; angles 114.09, 90.12, 118.16 degrees
With the nearest neighbours (Å) after each atom.
Element x y z (fractional)
S (0.9597, 0.6911, 0.4934)  1 Se 2.29
Se (0.9111, 0.5966, 0.8927)  1 S 2.29
Ca (0.5864, 0.9461, 0.3188)  3 S 2.82, 3 Se 2.97-3.02

Results
The value obtained for the relative energy among the computed polymorphs is 0.080 eV per atom. The total magnetization is 0.00 μB per formula unit. Its uncorrected formation energy is -1.19 eV/atom.


[7]
The following is a DFT calculation (GGA-PBE) of an optimized crystal structure of Ca3ScC.

Cell lengths 6.0930, 6.0930, 6.0930 Å; angles 90.00, 90.00, 90.00 degrees
With the nearest neighbours (Å) after each atom.
Element x y z (fractional)
C (0.5000, 0.5000, 0.5000)  12 Ca 4.31
Sc (0.0000, 0.0000, 0.0000)  6 Ca 3.05
Ca (0.0000, 0.0000, 0.5000)  2 Sc 3.05
Ca (0.5000, 0.0000, 0.0000)  2 Sc 3.05
Ca (0.0000, 0.5000, 0.0000)  2 Sc 3.05

Results
The value obtained for the formation energy is 2030 meV per atom. The value obtained for the relative energy among the computed polymorphs is 1.617 eV per atom. The total magnetization is 5.93 μB per formula unit.


[8]
The following is a DFT calculation (GGA-PBE) of an optimized crystal structure of Ho2ZrS4.

Cell lengths 3.8643, 6.8949, 7.2845 Å; angles 119.14, 105.38, 90.00 degrees
With the nearest neighbours (Å) after each atom.
Element x y z (fractional)
Ho (0.2683, 0.2576, 0.5366)  6 S 2.68-2.79
Zr (0.0000, 0.0000, 0.0000)  6 S 2.60-2.67
S (0.1179, 0.8055, 0.2358)  1 Zr 2.60, 3 Ho 2.68-2.74
S (0.6297, 0.2746, 0.2594)  2 Zr 2.67, 3 Ho 2.79
S (0.3703, 0.7254, 0.7406)  2 Zr 2.67, 3 Ho 2.79
S (0.8821, 0.1945, 0.7642)  1 Zr 2.60, 3 Ho 2.68-2.74
Ho (0.7317, 0.7424, 0.4634)  6 S 2.68-2.79

Results
The total magnetization is 0.00 μB per formula unit. Its uncorrected formation energy is -1.82 eV/atom.